Record 1
4
Lattice="3.587 0.000 0.000 0.000 3.587 0.000 0.000 0.000 8.535" Properties=species:S:1:pos:R:3 comment="Sr2MnTc GGA-PBE relaxed" ef_ev_per_atom=0.944 relative_energy_kj_per_mol_fu=172 volume_a3_per_fu=109.8 space_group="P4/mmm (123)" pbc="T T T"
Tc 1.793 1.793 2.134
Mn 1.793 1.793 6.402
Sr 0.000 0.000 0.137
Sr 0.000 0.000 4.131

***

Record 2
5
Lattice="-0.704 -5.208 -2.206 5.475 -0.069 -1.584 1.421 -2.314 5.011" Properties=species:S:1:pos:R:3 comment="Sr3MnTc GGA-PBE relaxed" ef_ev_per_atom=0.934 volume_a3_per_fu=185.1 space_group="Pm-3m (221)" pbc="T T T"
Sr 2.737 -0.035 -0.792
Sr 0.710 -1.157 2.505
Sr -0.352 -2.604 -1.103
Tc 0.000 0.000 0.000
Mn 3.096 -3.796 0.611

***

Record 3
5
Lattice="4.986 0.000 0.000 0.000 4.601 0.000 0.000 0.000 4.986" Properties=species:S:1:pos:R:3 comment="SrZr2MnTc GGA-PBE relaxed" ef_ev_per_atom=0.478 volume_a3_per_fu=114.4 space_group="P4/mmm (123)" pbc="T T T"
Zr 2.493 0.000 0.000
Zr 0.000 0.000 2.493
Tc 0.000 2.300 0.000
Mn 0.000 0.000 0.000
Sr 2.493 2.300 2.493